Entry 1:
Sr5NdMg6 | PBE | relaxed

```
Sr5NdMg6
1.0
5.808 -0.370 0.945
-0.022 7.535 3.090
1.355 0.288 10.041
Nd Sr Mg
1 5 6
Direct
0.000 0.000 0.000 Nd
0.000 0.500 0.000 Sr
0.664 0.663 0.674 Sr
0.674 0.172 0.656 Sr
0.326 0.828 0.344 Sr
0.336 0.337 0.326 Sr
0.162 0.927 0.679 Mg
0.838 0.073 0.321 Mg
0.838 0.606 0.322 Mg
0.500 0.223 0.000 Mg
0.500 0.777 0.000 Mg
0.162 0.394 0.678 Mg
```

Calculated values
As for the space-group type: No. 12.


Entry 2:
Mg2MnSb | PBE | relaxed

```
Mg2MnSb
1.0
-1.768 -2.038 -3.398
-2.492 -2.321 2.689
-3.009 2.975 -0.220
Mg Sb Mn
2 1 1
Direct
0.000 0.000 0.000 Mg
0.500 0.500 0.000 Mg
0.000 0.500 0.500 Sb
0.500 0.000 0.500 Mn
```

Calculated values
The formation energy from raw total energies is -5 meV per atom. As for the space-group type: No. 123.


Entry 3:
CsHf3W | PBE | relaxed

```
CsHf3W
1.0
5.280 0.000 0.000
0.000 5.280 0.000
0.000 0.000 5.280
Hf W Cs
3 1 1
Direct
0.000 0.000 0.500 Hf
0.500 0.000 0.000 Hf
0.000 0.500 0.000 Hf
0.000 0.000 0.000 W
0.500 0.500 0.500 Cs
```

Calculated values
As for the space-group type: No. 221.


Entry 4:
Zr2TeRh | PBE | relaxed

```
Zr2TeRh
1.0
4.843 0.000 0.000
2.421 4.194 0.000
2.421 1.398 3.954
Rh Zr Te
1 2 1
Direct
0.500 0.500 0.500 Rh
0.000 0.000 0.000 Zr
0.250 0.250 0.250 Zr
0.750 0.750 0.750 Te
```

Calculated values
The formation energy from raw total energies is -88 meV per atom. The energy relative to the lowest polymorph listed for this composition comes out at 554 meV/atom. As for the space-group type: No. 216.


Number 1: volume 35.250 A^3/atom, DFT total energy -23.39 eV per cell, ρ 2.86 g/cm3. Number 2: volume 19.944 A^3/atom, DFT total energy -16.50 eV per cell, ρ 4.69 g/cm3. Number 3: volume 29.431 A^3/atom, DFT total energy -38.07 eV per cell, ρ 9.62 g/cm3. Number 4: volume 20.077 A^3/atom, DFT total energy -27.94 eV per cell, ρ 8.54 g/cm3.